Entry 1:
# ZrSiBr3, relaxed, DFT PBE-GGA
data_ZrSiBr3
_chemical_formula_sum 'Zr1 Si1 Br3'
_cell_length_a 5.362
_cell_length_b 5.362
_cell_length_c 5.362
_cell_angle_alpha 90.00
_cell_angle_beta 90.00
_cell_angle_gamma 90.00
_symmetry_space_group_name_H-M 'P m -3 m'
_symmetry_Int_Tables_number 221
_symmetry_space_group_name_Hall '-P 4 2 3'
loop_
_atom_site_label
_atom_site_type_symbol
_atom_site_fract_x
_atom_site_fract_y
_atom_site_fract_z
Zr1 Zr 0.000 0.000 0.000
Si1 Si 0.500 0.500 0.500
Br1 Br 0.000 0.000 0.500
# * E above lowest polymorph: 0.000 eV/atom
# * magnetization: 2.9 μB per cell
# * uncorrected energy: -3.866 eV per atom
# * crystal system: cubic

Entry 2:
# ZrSiBr2, relaxed, DFT PBE-GGA
data_ZrSiBr2
_chemical_formula_sum 'Zr1 Si1 Br2'
_cell_length_a 4.956
_cell_length_b 4.956
_cell_length_c 3.414
_cell_angle_alpha 90.00
_cell_angle_beta 90.00
_cell_angle_gamma 90.00
_symmetry_space_group_name_H-M 'P 4/m m m'
_symmetry_Int_Tables_number 123
_symmetry_space_group_name_Hall '-P 4 2'
loop_
_atom_site_label
_atom_site_type_symbol
_atom_site_fract_x
_atom_site_fract_y
_atom_site_fract_z
Zr1 Zr 0.000 0.000 0.000
Si1 Si 0.500 0.500 0.000
Br1 Br 0.000 0.500 0.500
# * E above lowest polymorph: 0.920 eV/atom
# * magnetization: 0.0 μB per cell
# * uncorrected energy: -4.082 eV per atom
# * crystal system: tetragonal

Entry 3:
# ZrSiBr2, relaxed, DFT PBE-GGA
data_ZrSiBr2
_chemical_formula_sum 'Zr2 Si2 Br4'
_cell_length_a 4.445
_cell_length_b 4.445
_cell_length_c 8.769
_cell_angle_alpha 90.00
_cell_angle_beta 90.00
_cell_angle_gamma 90.00
_symmetry_space_group_name_H-M 'I 4/m m m'
_symmetry_Int_Tables_number 139
_symmetry_space_group_name_Hall '-I 4 2'
loop_
_atom_site_label
_atom_site_type_symbol
_atom_site_fract_x
_atom_site_fract_y
_atom_site_fract_z
Zr1 Zr 0.000 0.000 0.000
Si1 Si 0.000 0.000 0.500
Br1 Br 0.000 0.500 0.250
# * E above lowest polymorph: 0.773 eV/atom
# * magnetization: 0.0 μB per cell
# * uncorrected energy: -4.229 eV per atom
# * crystal system: tetragonal

Entry 4:
# ZrSiBr2, relaxed, DFT PBE-GGA
data_ZrSiBr2
_chemical_formula_sum 'Zr4 Si4 Br8'
_cell_length_a 6.905
_cell_length_b 6.905
_cell_length_c 6.905
_cell_angle_alpha 90.00
_cell_angle_beta 90.00
_cell_angle_gamma 90.00
_symmetry_space_group_name_H-M 'F m -3 m'
_symmetry_Int_Tables_number 225
_symmetry_space_group_name_Hall '-F 4 2 3'
loop_
_atom_site_label
_atom_site_type_symbol
_atom_site_fract_x
_atom_site_fract_y
_atom_site_fract_z
Zr1 Zr 0.000 0.000 0.000
Si1 Si 0.000 0.000 0.500
Br1 Br 0.250 0.250 0.250
# * E above lowest polymorph: 0.763 eV/atom
# * magnetization: 0.0 μB per cell
# * uncorrected energy: -4.239 eV per atom
# * crystal system: cubic

| no. | formation energy from raw total energies (eV per atom) |
| --- | --- |
| 1 | -0.07 |
| 2 | 0.25 |
| 3 | 0.10 |
| 4 | 0.09 |